A relaxed Zn7Cu2Pt3 crystal, computed with GGA-PBE.

a b c (Å): 2.7633 4.3282 15.1354
angles (deg): 98.27 90.00 90.00
Closest atoms and distances in Å follow each position.
Fractional coordinates of all 12 atoms:
1 Zn 0.5000 0.2718 0.5431  1 Cu 2.40, 2 Zn 2.52
2 Zn 0.0000 0.4265 0.8495  2 Cu 2.59, 2 Pt 2.64, 6 Zn 2.76-2.78
3 Zn 0.0000 0.0000 0.0000  4 Pt 2.57, 2 Zn 2.76
4 Zn 0.5000 0.1099 0.2208  2 Cu 2.44
5 Zn 0.5000 0.8901 0.7792  2 Cu 2.44
6 Zn 0.0000 0.5735 0.1505  2 Cu 2.59, 2 Pt 2.64, 6 Zn 2.76-2.78
7 Zn 0.5000 0.7282 0.4569  1 Cu 2.40, 2 Zn 2.52
8 Cu 0.5000 0.6482 0.2967  5 Zn 2.40-2.59
9 Cu 0.5000 0.3518 0.7033  5 Zn 2.40-2.59
10 Pt 0.0000 0.8085 0.6159  8 Zn 2.75-2.81, 2 Pt 2.76, 4 Cu 2.88
11 Pt 0.5000 0.5000 0.0000  8 Zn 2.57-2.64, 2 Pt 2.76
12 Pt 0.0000 0.1915 0.3841  8 Zn 2.75-2.81, 2 Pt 2.76, 4 Cu 2.88

Computed properties:
**DOS at the Fermi energy**: 4.3 states/eV/f.u.
**Size of the total moment**: 0.0 μB/cell
**Total DFT energy (no corrections)**: -38.345 eV per cell
**Space-group type**: P2/m (10)

A relaxed Zn6CuPt2 crystal, computed with GGA-PBE.

a b c (Å): 4.4982 7.2634 5.9672
angles (deg): 127.49 112.29 90.00
Closest atoms and distances in Å follow each position.
Fractional coordinates of all 9 atoms:
1 Cu 0.0000 0.0000 0.0000  8 Zn 2.61-2.63, 2 Pt 2.74
2 Zn 0.1640 0.8535 0.3275  1 Cu 2.63, 3 Pt 2.64, 7 Zn 2.72-2.81
3 Zn 0.5000 0.1815 0.0000  2 Cu 2.61, 7 Zn 2.64-2.80, 2 Pt 2.71
4 Zn 0.8360 0.5260 0.6725  1 Cu 2.63, 3 Pt 2.64, 7 Zn 2.72-2.81
5 Zn 0.5000 0.8185 0.0000  2 Cu 2.61, 7 Zn 2.64-2.80, 2 Pt 2.71
6 Zn 0.8360 0.1465 0.6725  1 Cu 2.63, 3 Pt 2.64, 7 Zn 2.72-2.81
7 Zn 0.1640 0.4740 0.3275  1 Cu 2.63, 3 Pt 2.64, 7 Zn 2.72-2.81
8 Pt 0.3298 0.3294 0.6587  8 Zn 2.64-2.71, 1 Cu 2.74, 1 Pt 2.84
9 Pt 0.6702 0.6706 0.3413  8 Zn 2.64-2.71, 1 Cu 2.74, 1 Pt 2.84

Computed properties:
**DOS at the Fermi energy**: 3.7 states/eV/f.u.
**Size of the total moment**: 0.0 μB/cell
**Total DFT energy (no corrections)**: -25.897 eV per cell
**Space-group type**: C2/m (12)

A relaxed Zn12Cu7Pt crystal, computed with GGA-PBE.

a b c (Å): 7.7746 7.7746 7.7746
angles (deg): 109.47 109.47 109.47
Closest atoms and distances in Å follow each position.
Fractional coordinates of all 20 atoms:
1 Cu 0.5000 0.5000 0.0000  4 Zn 2.48
2 Cu 0.5000 0.0000 0.5000  4 Zn 2.48
3 Cu 0.5000 0.5000 0.5000  6 Zn 2.42
4 Cu 0.0000 0.5000 0.0000  6 Zn 2.42
5 Cu 0.0000 0.5000 0.5000  4 Zn 2.48
6 Cu 0.0000 0.0000 0.5000  6 Zn 2.42
7 Cu 0.5000 0.0000 0.0000  6 Zn 2.42
8 Zn 0.7325 0.8504 0.5829  3 Cu 2.42-2.48, 1 Zn 2.69
9 Zn 0.7325 0.1496 0.8822  3 Cu 2.42-2.48, 1 Zn 2.69
10 Zn 0.1496 0.8822 0.7325  3 Cu 2.42-2.48, 1 Zn 2.69
11 Zn 0.1178 0.2675 0.8504  3 Cu 2.42-2.48, 1 Zn 2.69
12 Zn 0.2675 0.8504 0.1178  3 Cu 2.42-2.48, 1 Zn 2.69
13 Zn 0.8504 0.1178 0.2675  3 Cu 2.42-2.48, 1 Zn 2.69
14 Zn 0.2675 0.1496 0.4171  3 Cu 2.42-2.48, 1 Zn 2.69
15 Zn 0.4171 0.2675 0.1496  3 Cu 2.42-2.48, 1 Zn 2.69
16 Zn 0.5829 0.7325 0.8504  3 Cu 2.42-2.48, 1 Zn 2.69
17 Zn 0.8822 0.7325 0.1496  3 Cu 2.42-2.48, 1 Zn 2.69
18 Zn 0.8504 0.5829 0.7325  3 Cu 2.42-2.48, 1 Zn 2.69
19 Zn 0.1496 0.4171 0.2675  3 Cu 2.42-2.48, 1 Zn 2.69
20 Pt 0.0000 0.0000 0.0000  12 Zn 2.75

Computed properties:
**DOS at the Fermi energy**: 8.9 states/eV/f.u.
**Size of the total moment**: 0.0 μB/cell
**Total DFT energy (no corrections)**: -44.190 eV per cell
**Space-group type**: Im-3 (204)